## FeBi2O (PBE+U)

Data for a geometry-optimized FeBi2O structure.

Cell and atoms, written as extended XYZ:
```
8
Lattice="5.5248 0.0000 0.0000 0.0000 5.5248 0.0000 2.7624 2.7624 6.8285" Properties=species:S:1:pos:R:3 pbc="T T T"
Bi 1.8200 4.1436 1.7071
Fe 5.5248 2.7624 3.4143
Bi 3.7048 1.3812 1.7071
O 2.7624 5.5248 3.4143
Bi 6.9060 6.4672 5.1214
Bi 4.1436 4.5824 5.1214
Fe 0.0000 0.0000 0.0000
O 2.7624 2.7624 0.0000
```

Values from the calculation:
Energy in eV/atom: -4.23
DOS at the Fermi energy in states/eV/cell: 7.46
M_tot in μB per cell: 6.7
Density in g/cm3: 7.80